First-principles (PBE-GGA) data for crystalline Tl2HgPd at its relaxed geometry, as listed in OQMD.

Cell lengths 7.257, 7.257, 7.257 Å; angles 90.00, 90.00, 90.00 degrees
Space group F-43m (No. 216)
Asymmetric unit:
Tl1 0.000 0.000 0.000 x4
Tl2 0.250 0.250 0.250 x4
Hg1 0.250 0.250 0.750 x4
Pd1 0.000 0.000 0.500 x4

DFT total energy   -2.4789 eV per atom
Theoretical density   12438 kg/m³



First-principles (PBE-GGA) data for crystalline HfSiPO at its relaxed geometry, as listed in OQMD.

Cell lengths 3.474, 5.619, 6.475 Å; angles 90.00, 90.00, 90.00 degrees
Space group Pmc2_1 (No. 26)
Asymmetric unit:
Hf1 0.000 0.219 0.000 x2
Si1 0.500 0.147 0.585 x2
P1 0.000 0.295 0.394 x2
O1 0.500 0.280 0.820 x2

Magnetic moment   0.0 μB/f.u.
E above lowest polymorph   153.7 meV per atom
DFT total energy   -7.5934 eV per atom
Theoretical density   6661 kg/m³



First-principles (PBE-GGA) data for crystalline DyScN2 at its relaxed geometry, as listed in OQMD.

Cell lengths 3.340, 3.340, 4.706 Å; angles 90.00, 90.00, 90.00 degrees
Space group P4/mmm (No. 123)
Asymmetric unit:
Dy1 0.000 0.000 0.000 x1
Sc1 0.500 0.500 0.500 x1
N1 0.000 0.000 0.500 x1
N2 0.500 0.500 0.000 x1

Magnetic moment   0.0 μB/f.u.
DFT total energy   -8.6189 eV per atom
Theoretical density   7448 kg/m³



First-principles (PBE-GGA) data for crystalline Zr8Co2C3N3 at its relaxed geometry, as listed in OQMD.

Cell lengths 3.2860, 3.2860, 23.6889 Å; angles 90.00, 90.00, 120.00 degrees
Space group P-3m1 (No. 164)
Asymmetric unit:
Zr1 0.0000 0.0000 0.1688 x2
Zr2 0.0000 0.0000 0.3293 x2
Zr3 0.3333 0.6667 0.5564 x2
Zr4 0.3333 0.6667 0.9431 x2
Co1 0.3333 0.6667 0.7530 x2
C1 0.0000 0.0000 0.5000 x1
C2 0.3333 0.6667 0.3825 x2
N1 0.0000 0.0000 0.0000 x1
N2 0.3333 0.6667 0.1119 x2

Magnetic moment   1.0 μB/f.u.
DFT total energy   -9.3654 eV per atom
Theoretical density   6939 kg/m³



First-principles (PBE-GGA) data for crystalline NdPuI6 at its relaxed geometry, as listed in OQMD.

Cell lengths 7.894, 13.697, 7.811 Å; angles 90.00, 109.27, 90.00 degrees
Space group C2 (No. 5)
Asymmetric unit:
Nd1 0.000 0.000 0.000 x2
Pu1 0.000 0.332 0.000 x2
I1 0.226 0.167 0.247 x4
I2 0.245 0.341 0.758 x4
I3 0.249 0.990 0.758 x4

Magnetic moment   5.0 μB/f.u.
DFT total energy   -4.7868 eV per atom
Theoretical density   4790 kg/m³



First-principles (PBE-GGA) data for crystalline LiHf2Al at its relaxed geometry, as listed in OQMD.

Cell lengths 6.772, 6.772, 6.772 Å; angles 90.00, 90.00, 90.00 degrees
Space group F-43m (No. 216)
Asymmetric unit:
Li1 0.000 0.000 0.000 x4
Hf1 0.000 0.000 0.500 x4
Hf2 0.250 0.250 0.250 x4
Al1 0.250 0.250 0.750 x4

Magnetic moment   1.5 μB/f.u.
DFT total energy   -6.1364 eV per atom
Theoretical density   8359 kg/m³



First-principles (PBE-GGA) data for crystalline Y3Ho2Er3 at its relaxed geometry, as listed in OQMD.

Cell lengths 7.2196, 7.2196, 5.6028 Å; angles 90.00, 90.00, 120.00 degrees
Space group P-6m2 (No. 187)
Asymmetric unit:
Y1 0.0002 0.5001 0.0000 x3
Ho1 0.0000 0.0000 0.0000 x1
Ho2 0.3333 0.6667 0.5000 x1
Er1 0.3319 0.1659 0.5000 x3

Magnetic moment   0.1 μB/f.u.
DFT total energy   -5.2775 eV per atom
Energy relative to the elements   2.4 meV per atom
Theoretical density   7212 kg/m³



First-principles (PBE-GGA) data for crystalline NdTmS2 at its relaxed geometry, as listed in OQMD.

Cell lengths 3.959, 3.959, 5.600 Å; angles 90.00, 90.00, 90.00 degrees
Space group P4/mmm (No. 123)
Asymmetric unit:
Nd1 0.000 0.000 0.000 x1
Tm1 0.500 0.500 0.500 x1
S1 0.000 0.000 0.500 x1
S2 0.500 0.500 0.000 x1

Magnetic moment   0.0 μB/f.u.
E above lowest polymorph   56.7 meV per atom
DFT total energy   -6.3057 eV per atom
Theoretical density   7139 kg/m³